Entry 1:
A plane-wave DFT calculation with PBE was carried out for a relaxed structure of Ba2SrTcO6.

```
Ba2SrTcO6
1.0
2.976 1.718 11.608
-2.976 1.718 11.608
0.000 -3.436 11.608
Ba Sr Tc O
4 2 2 12
Cartesian
0.000 0.000 4.942
0.000 0.000 10.619
0.000 0.000 24.205
0.000 0.000 29.882
0.000 0.000 14.310
0.000 0.000 20.514
0.000 0.000 0.000
0.000 0.000 17.412
-1.367 -0.790 16.279
0.000 -1.828 12.716
-1.583 0.914 12.716
-1.583 -0.914 22.108
0.000 -1.579 18.546
-1.367 0.790 18.546
1.368 -0.790 16.279
0.000 1.579 16.279
1.583 0.914 12.716
1.583 -0.914 22.108
0.000 1.828 22.108
1.368 0.790 18.546
```

E_form (uncorrected), eV/atom: -2.225
Size of the total moment, μB per formula unit: 1.0
Symmetry: R-3m
E, eV per atom: -6.790
D(E_F), states/eV per cell: 9.2


Entry 2:
A plane-wave DFT calculation with PBE was carried out for a relaxed structure of BaSrTcO4.

```
BaSrTcO4
1.0
-1.976 1.976 6.710
1.976 -1.976 6.710
1.976 1.976 -6.710
Ba Sr Tc O
1 1 1 4
Cartesian
0.000 0.000 0.000
0.000 0.000 9.455
0.000 0.000 4.678
0.000 0.000 2.589
1.976 0.000 4.649
0.000 0.000 6.862
0.000 1.976 4.649
```

E_form (uncorrected), eV/atom: -2.214
Size of the total moment, μB per formula unit: 0.4
Symmetry: I4mm
E, eV per atom: -7.044
D(E_F), states/eV per cell: 2.0


Entry 3:
A plane-wave DFT calculation with PBE was carried out for a relaxed structure of BaSr2TcO5.

```
BaSr2TcO5
1.0
-1.934 3.043 6.005
1.934 -3.043 6.005
1.934 3.043 -6.005
Ba Sr Tc O
1 2 1 5
Cartesian
0.000 0.000 0.000
1.934 0.000 3.436
0.000 3.043 2.569
0.000 0.000 6.005
1.934 1.607 -1.530
1.934 1.607 1.530
0.000 3.043 0.000
0.000 1.436 4.475
0.000 1.436 7.536
```

E_form (uncorrected), eV/atom: -2.335
Size of the total moment, μB per formula unit: 1.0
Symmetry: Immm
E, eV per atom: -6.829
D(E_F), states/eV per cell: 0.7


Entry 4:
A plane-wave DFT calculation with PBE was carried out for a relaxed structure of Ba3SrTe2O9.

```
Ba3SrTe2O9
1.0
6.168 0.000 0.000
-3.084 5.342 0.000
0.000 0.000 7.559
Ba Sr Te O
3 1 2 9
Cartesian
0.000 0.000 0.000
0.000 3.561 5.155
3.084 1.781 2.404
0.000 0.000 3.780
0.000 3.561 1.269
3.084 1.781 6.291
-1.542 2.671 0.000
0.000 1.940 2.369
-1.404 4.372 2.369
1.680 0.970 5.190
3.084 0.000 0.000
1.542 2.671 0.000
1.404 4.372 2.369
4.488 0.970 5.190
3.084 3.402 5.190
```

E_form (uncorrected), eV/atom: -2.111
Size of the total moment, μB per formula unit: 0.0
Symmetry: P-3m1
E, eV per atom: -6.001


Entry 5:
A plane-wave DFT calculation with PBE was carried out for a relaxed structure of BaSrTeO.

```
BaSrTeO
1.0
4.926 0.000 0.000
0.000 4.926 0.000
0.000 0.000 10.033
Ba Sr Te O
2 2 2 2
Cartesian
1.232 1.232 1.729
3.695 3.695 8.304
1.232 3.695 5.016
3.695 1.232 5.016
1.232 1.232 8.004
3.695 3.695 2.029
1.232 1.232 4.274
3.695 3.695 5.758
```

E_form (uncorrected), eV/atom: -2.210
Size of the total moment, μB per formula unit: 0.0
Symmetry: P4/nmm
E, eV per atom: -5.136
D(E_F), states/eV per cell: 0.0


Entry 6:
A plane-wave DFT calculation with PBE was carried out for a relaxed structure of BaSr2TeO6.

```
BaSr2TeO6
1.0
5.976 0.000 0.000
0.000 6.361 0.000
-5.878 0.000 8.673
Ba Sr Te O
2 4 2 12
Cartesian
0.000 0.000 0.000
-2.939 3.180 4.336
-2.988 0.262 6.370
-0.049 2.918 2.034
0.147 3.442 6.639
3.086 6.098 2.303
0.049 0.000 4.336
2.988 3.180 0.000
-1.587 1.032 4.047
-4.526 2.148 8.384
-3.810 4.758 7.890
-0.871 4.783 3.553
0.710 0.537 2.556
-2.229 2.643 6.893
2.327 3.718 1.780
-0.612 5.823 6.117
0.969 1.577 5.119
3.908 1.603 0.783
4.624 4.212 0.289
1.685 5.329 4.626
```

E_form (uncorrected), eV/atom: -2.256
Size of the total moment, μB per formula unit: 0.0
Symmetry: P2_1/c
E, eV per atom: -6.074
D(E_F), states/eV per cell: 0.0


Entry 7:
A plane-wave DFT calculation with PBE was carried out for a relaxed structure of BaSr2TiO5.

```
BaSr2TiO5
1.0
-1.958 3.022 5.925
1.958 -3.022 5.925
1.958 3.022 -5.925
Ba Sr Ti O
1 2 1 5
Cartesian
0.000 0.000 0.000
1.958 0.000 3.398
0.000 3.022 2.527
0.000 0.000 5.925
1.958 1.627 -1.475
1.958 1.627 1.475
0.000 3.022 0.000
0.000 1.395 4.450
0.000 1.395 7.400
```

E_form (uncorrected), eV/atom: -2.916
Size of the total moment, μB per formula unit: 0.0
Symmetry: Immm
E, eV per atom: -7.135
D(E_F), states/eV per cell: 0.0


Entry 8:
A plane-wave DFT calculation with PBE was carried out for a relaxed structure of BaSrTi4O12.

```
BaSrTi4O12
1.0
5.567 0.000 0.000
0.000 5.567 0.000
0.000 0.000 7.874
Ba Sr Ti O
1 1 4 12
Cartesian
0.000 0.000 0.000
2.784 2.784 3.937
0.000 2.784 1.986
0.000 2.784 5.888
2.784 0.000 1.986
2.784 0.000 5.888
0.000 2.784 0.000
0.000 2.784 3.937
1.406 1.406 2.012
1.406 1.406 5.863
1.406 4.161 2.012
1.406 4.161 5.863
2.784 0.000 0.000
2.784 0.000 3.937
4.161 1.406 2.012
4.161 1.406 5.863
4.161 4.161 2.012
4.161 4.161 5.863
```

E_form (uncorrected), eV/atom: -2.505
Size of the total moment, μB per formula unit: 4.0
Symmetry: P4/mmm
E, eV per atom: -7.765
D(E_F), states/eV per cell: 9.2


Entry 9:
A plane-wave DFT calculation with PBE was carried out for a relaxed structure of Ba2SrTi3O9.

```
Ba2SrTi3O9
1.0
2.817 -8.437 0.000
2.817 8.437 0.000
0.000 0.000 4.133
Ba Sr Ti O
2 1 3 9
Cartesian
2.817 5.619 0.000
2.817 -5.619 0.000
2.817 0.000 4.044
0.000 0.000 1.993
2.817 2.779 1.991
2.817 -2.779 1.991
0.000 0.000 0.162
1.408 4.219 2.151
1.424 1.381 2.186
1.424 -1.381 2.186
2.817 2.742 0.157
1.408 -4.219 2.151
2.817 -2.742 0.157
4.210 1.381 2.186
4.210 -1.381 2.186
```

E_form (uncorrected), eV/atom: -3.087
Size of the total moment, μB per formula unit: 0.0
Symmetry: Cmm2
E, eV per atom: -8.009
D(E_F), states/eV per cell: 0.0


Entry 10:
A plane-wave DFT calculation with PBE was carried out for a relaxed structure of Ba4SrTi3O12.

```
Ba4SrTi3O12
1.0
-4.201 4.201 4.201
4.201 -4.201 4.201
4.201 4.201 -4.201
Ba Sr Ti O
4 1 3 12
Cartesian
2.100 2.100 -2.100
2.100 -2.100 2.100
-2.100 2.100 2.100
2.100 2.100 2.100
0.000 0.000 0.000
4.201 0.000 0.000
0.000 4.201 0.000
0.000 0.000 4.201
2.339 0.000 0.000
6.063 0.000 0.000
4.201 2.100 0.000
4.201 0.000 2.100
0.000 2.339 0.000
0.000 0.000 2.339
2.100 4.201 0.000
2.100 0.000 4.201
0.000 6.063 0.000
0.000 0.000 6.063
0.000 4.201 2.100
0.000 2.100 4.201
```

E_form (uncorrected), eV/atom: -2.742
Size of the total moment, μB per formula unit: 2.1
Symmetry: Im-3m
E, eV per atom: -7.370
D(E_F), states/eV per cell: 11.9


Entry 11:
A plane-wave DFT calculation with PBE was carried out for a relaxed structure of Ba3Sr5Ti8O24.

```
Ba3Sr5Ti8O24
1.0
7.957 0.000 0.000
0.000 7.957 0.000
0.000 0.000 7.956
Ba Sr Ti O
3 5 8 24
Cartesian
0.000 0.000 0.000
0.000 3.979 0.000
3.979 0.000 0.000
0.000 0.000 3.978
0.000 3.979 3.978
3.979 0.000 3.978
3.979 3.979 0.000
3.979 3.979 3.978
2.000 2.000 2.021
2.000 2.000 5.935
2.000 5.957 2.021
2.000 5.957 5.935
5.957 2.000 2.021
5.957 2.000 5.935
5.957 5.957 2.021
5.957 5.957 5.935
0.000 1.998 2.050
0.000 1.998 5.906
0.000 5.959 2.050
0.000 5.959 5.906
1.998 0.000 2.050
1.998 0.000 5.906
2.001 2.001 3.978
2.001 5.956 3.978
2.012 3.979 2.034
2.012 3.979 5.922
2.017 2.017 0.000
2.017 5.940 0.000
3.979 2.012 2.034
3.979 2.012 5.922
3.979 5.945 2.034
3.979 5.945 5.922
5.940 2.017 0.000
5.940 5.940 0.000
5.945 3.979 2.034
5.945 3.979 5.922
5.959 0.000 2.050
5.959 0.000 5.906
5.956 2.001 3.978
5.956 5.956 3.978
```

E_form (uncorrected), eV/atom: -3.104
Size of the total moment, μB per formula unit: 0.0
Symmetry: P4/mmm
E, eV per atom: -8.012
D(E_F), states/eV per cell: 0.0


Entry 12:
A plane-wave DFT calculation with PBE was carried out for a relaxed structure of BaSrTi2O6.

```
BaSrTi2O6
1.0
3.990 0.000 0.000
0.000 3.990 0.000
0.000 0.000 7.977
Ba Sr Ti O
1 1 2 6
Cartesian
0.000 0.000 0.000
0.000 0.000 3.989
1.995 1.995 2.036
1.995 1.995 5.941
0.000 1.995 2.063
0.000 1.995 5.914
1.995 0.000 2.063
1.995 0.000 5.914
1.995 1.995 0.000
1.995 1.995 3.989
```

E_form (uncorrected), eV/atom: -3.095
Size of the total moment, μB per formula unit: 0.0
Symmetry: P4/mmm
E, eV per atom: -8.010
D(E_F), states/eV per cell: 0.0


Entry 13:
A plane-wave DFT calculation with PBE was carried out for a relaxed structure of Ba4Sr3TlO8.

```
Ba4Sr3TlO8
1.0
3.835 2.214 6.243
-3.835 2.214 6.243
0.000 -4.428 6.243
Ba Sr Tl O
4 3 1 8
Cartesian
0.000 0.000 0.000
-1.917 -1.107 6.243
-1.917 1.107 12.485
0.000 2.214 6.243
-3.835 0.000 9.364
-1.917 1.107 3.121
1.917 1.107 3.121
0.000 0.000 9.364
-1.983 -1.145 10.866
0.000 0.000 4.589
0.000 -2.290 7.862
-1.983 1.145 7.862
1.983 -1.145 10.866
0.000 2.290 10.866
0.000 0.000 14.139
1.983 1.145 7.862
```

E_form (uncorrected), eV/atom: -2.298
Size of the total moment, μB per formula unit: 0.0
Symmetry: R-3m
E, eV per atom: -5.721
D(E_F), states/eV per cell: 5.4


Entry 14:
A plane-wave DFT calculation with PBE was carried out for a relaxed structure of Ba2SrTlO4.

```
Ba2SrTlO4
1.0
1.893 -6.481 0.000
1.893 6.481 0.000
0.000 0.000 13.662
Ba Sr Tl O
4 2 2 8
Cartesian
1.893 4.796 7.288
1.893 4.796 13.206
1.893 -4.796 0.456
1.893 -4.796 6.375
1.893 1.722 10.247
1.893 -1.722 3.416
1.893 1.714 3.416
1.893 -1.714 10.247
1.893 6.203 10.247
1.893 3.459 1.823
1.893 3.459 5.008
1.893 0.000 0.000
1.893 0.000 6.831
1.893 -3.459 8.654
1.893 -3.459 11.839
1.893 -6.203 3.416
```

E_form (uncorrected), eV/atom: -1.921
Size of the total moment, μB per formula unit: 0.0
Symmetry: Cmcm
E, eV per atom: -5.386
D(E_F), states/eV per cell: 2.5


Entry 15:
A plane-wave DFT calculation with PBE was carried out for a relaxed structure of BaSrTlO3.

```
BaSrTlO3
1.0
7.202 0.000 0.000
0.000 3.621 0.000
-0.563 0.000 10.281
Ba Sr Tl O
2 2 2 6
Cartesian
1.142 0.905 2.382
5.497 2.716 7.900
2.025 2.716 9.104
4.614 0.905 1.178
0.986 0.905 6.048
5.653 2.716 4.233
0.406 0.905 8.335
0.896 2.716 4.570
2.779 2.716 1.244
3.861 0.905 9.038
5.743 0.905 5.711
6.234 2.716 1.947
```

E_form (uncorrected), eV/atom: -1.848
Size of the total moment, μB per formula unit: 0.0
Symmetry: P2_1/m
E, eV per atom: -5.322
D(E_F), states/eV per cell: 4.6


Entry 16:
A plane-wave DFT calculation with PBE was carried out for a relaxed structure of BaSr2TlO.

```
BaSr2TlO
1.0
5.231 0.000 0.000
0.000 5.231 0.000
0.000 0.000 5.603
Ba Sr Tl O
1 2 1 1
Cartesian
0.000 0.000 0.000
0.000 2.615 2.801
2.615 0.000 2.801
2.615 2.615 0.000
0.000 0.000 2.801
```

E_form (uncorrected), eV/atom: -1.233
Size of the total moment, μB per formula unit: 0.0
Symmetry: P4/mmm
E, eV per atom: -3.755
D(E_F), states/eV per cell: 4.9


Entry 17:
A plane-wave DFT calculation with PBE was carried out for a relaxed structure of Ba2SrTlO5.

```
Ba2SrTlO5
1.0
1.910 -7.641 0.000
1.910 7.641 0.000
0.000 0.000 11.396
Ba Sr Tl O
4 2 2 10
Cartesian
1.910 5.941 5.698
1.910 5.621 1.149
1.910 -5.621 6.847
1.910 -5.941 0.000
1.910 4.364 9.313
1.910 -4.364 3.615
1.910 0.349 3.178
1.910 -0.349 8.876
1.910 6.847 9.939
1.910 3.307 5.342
1.910 2.542 2.094
1.910 1.909 9.174
1.910 0.029 6.686
1.910 -0.029 0.988
1.910 -1.909 3.476
1.910 -2.542 7.792
1.910 -3.307 11.040
1.910 -6.847 4.241
```

E_form (uncorrected), eV/atom: -1.882
Size of the total moment, μB per formula unit: 1.1
Symmetry: Cmc2_1
E, eV per atom: -5.514
D(E_F), states/eV per cell: 12.5


Entry 18:
A plane-wave DFT calculation with PBE was carried out for a relaxed structure of Ba2SrTlO.

```
Ba2SrTlO
1.0
5.671 0.000 0.000
0.000 5.671 0.000
0.000 0.000 5.083
Ba Sr Tl O
2 1 1 1
Cartesian
0.000 2.835 0.000
2.835 0.000 0.000
0.000 0.000 2.542
2.835 2.835 2.542
0.000 0.000 0.000
```

E_form (uncorrected), eV/atom: -1.212
Size of the total moment, μB per formula unit: 0.0
Symmetry: P4/mmm
E, eV per atom: -3.782
D(E_F), states/eV per cell: 3.5